Material: RbZrSn2
Method: DFT, GGA-PBE
State: optimized geometry

Output
As for the energy relative to the lowest polymorph listed for this composition: 0.059 eV per atom. For the total energy, the calculation gives -4.092 eV per atom. The calculation puts the formation energy at 111 kJ/mol of formula units. The value obtained for the total magnetization is 0.0 μB per cell. For the density of states at the Fermi level, the calculation gives 1.7140 states/eV/atom. The calculation puts the calculated volume at 113.9 Å³/f.u.

```
4
Lattice="0.0000 3.8470 3.8470 3.8470 0.0000 3.8470 3.8470 3.8470 0.0000" Properties=species:S:1:pos:R:3 pbc="T T T"
Sn 5.7705 5.7705 5.7705
Zr 3.8470 3.8470 3.8470
Rb 0.0000 0.0000 0.0000
Sn 1.9235 1.9235 1.9235
```

---

Material: RbZrSn2
Method: DFT, GGA-PBE
State: optimized geometry

Output
As for the energy relative to the lowest polymorph listed for this composition: 0.000 eV per atom. For the total energy, the calculation gives -4.151 eV per atom. The calculation puts the formation energy at 88 kJ/mol of formula units. The value obtained for the total magnetization is 0.0 μB per cell. For the density of states at the Fermi level, the calculation gives 0.3457 states/eV/atom. The calculation puts the calculated volume at 185.3 Å³/f.u.

```
8
Lattice="-1.7989 2.5754 5.4542 0.7809 -5.5443 2.8755 8.3806 0.7427 6.0451" Properties=species:S:1:pos:R:3 pbc="T T T"
Sn 4.7676 2.4113 9.5133
Zr 3.0363 0.9169 7.8321
Sn 5.7498 0.5360 7.0910
Sn 0.7141 1.6097 6.3541
Rb 4.3262 -3.1430 6.5427
Zr 0.0000 0.0000 0.0000
Sn 0.9139 -0.8895 8.3699
Rb -0.5090 -1.4844 4.1649
```

---

Material: Rb2ZrSn
Method: DFT, GGA-PBE
State: optimized geometry

Output
For the total energy, the calculation gives -3.007 eV per atom. The calculation puts the formation energy at 237 kJ/mol of formula units. The value obtained for the total magnetization is 4.0 μB per cell. For the density of states at the Fermi level, the calculation gives 0.1792 states/eV/atom. The calculation puts the calculated volume at 256.7 Å³/f.u.

```
8
Lattice="13.4370 0.0000 0.0000 0.0000 13.4370 0.0000 6.7185 6.7185 2.8440" Properties=species:S:1:pos:R:3 pbc="T T T"
Rb 10.0778 8.0194 2.1330
Zr 6.7185 13.4370 1.4220
Zr 6.7185 6.7185 0.0000
Rb 14.7379 10.0778 0.7110
Rb 12.1362 3.3593 0.7110
Sn 13.4370 6.7185 1.4220
Sn 0.0000 0.0000 0.0000
Rb 16.7963 5.4177 2.1330
```

---

Material: RbZrSn3
Method: DFT, GGA-PBE
State: optimized geometry

Output
As for the energy relative to the lowest polymorph listed for this composition: 0.000 eV per atom. For the total energy, the calculation gives -4.384 eV per atom. The calculation puts the formation energy at -38 kJ/mol of formula units. The value obtained for the total magnetization is 0.0 μB per cell. For the density of states at the Fermi level, the calculation gives 0.5158 states/eV/atom. The calculation puts the calculated volume at 180.1 Å³/f.u.

```
5
Lattice="5.6476 0.0000 0.0000 0.0000 5.6476 0.0000 0.0000 0.0000 5.6476" Properties=species:S:1:pos:R:3 pbc="T T T"
Sn 0.0000 2.8238 0.0000
Zr 0.0000 0.0000 0.0000
Sn 2.8238 0.0000 0.0000
Sn 0.0000 0.0000 2.8238
Rb 2.8238 2.8238 2.8238
```

---

Material: RbZr2Sn
Method: DFT, GGA-PBE
State: optimized geometry

Output
For the total energy, the calculation gives -4.748 eV per atom. The calculation puts the formation energy at 297 kJ/mol of formula units. The value obtained for the total magnetization is 0.0 μB per cell. For the density of states at the Fermi level, the calculation gives 0.8852 states/eV/atom. The calculation puts the calculated volume at 138.8 Å³/f.u.

```
8
Lattice="5.0941 0.0000 0.0000 0.0000 5.0941 0.0000 2.5471 2.5471 10.7008" Properties=species:S:1:pos:R:3 pbc="T T T"
Rb 2.5471 5.0941 5.3504
Rb 2.5471 2.5471 0.0000
Sn 5.0941 2.5471 5.3504
Zr 3.8206 3.0552 8.0256
Zr 5.6023 3.8206 2.6752
Zr 6.3677 2.0389 8.0256
Zr 4.5860 1.2735 2.6752
Sn 0.0000 0.0000 0.0000
```

---

Material: RbZrSn3
Method: DFT, GGA-PBE
State: optimized geometry

Output
As for the energy relative to the lowest polymorph listed for this composition: 1.678 eV per atom. For the total energy, the calculation gives -2.707 eV per atom. The calculation puts the formation energy at 771 kJ/mol of formula units. The value obtained for the total magnetization is 0.0 μB per cell. For the density of states at the Fermi level, the calculation gives 1.5075 states/eV/atom. The calculation puts the calculated volume at 183.2 Å³/f.u.

```
5
Lattice="5.6791 0.0000 0.0000 0.0000 5.6791 0.0000 0.0000 0.0000 5.6791" Properties=species:S:1:pos:R:3 pbc="T T T"
Sn 2.8395 0.0000 0.0000
Sn 0.0000 2.8395 0.0000
Rb 0.0000 0.0000 0.0000
Sn 0.0000 0.0000 2.8395
Zr 2.8395 2.8395 2.8395
```

---

Material: Rb3Sr
Method: DFT, GGA-PBE
State: optimized geometry

Output
As for the energy relative to the lowest polymorph listed for this composition: 0.000 eV per atom. For the total energy, the calculation gives -1.034 eV per atom. The calculation puts the formation energy at 43 kJ/mol of formula units. The value obtained for the total magnetization is 0.0 μB per cell. For the density of states at the Fermi level, the calculation gives 1.1231 states/eV/atom. The calculation puts the calculated volume at 310.6 Å³/f.u.

```
4
Lattice="-2.2071 -2.6075 -3.1175 6.8796 -3.0090 -2.3539 -0.7604 -6.2476 5.7638" Properties=species:S:1:pos:R:3 pbc="T T T"
Rb -1.4926 -4.4998 1.3899
Sr -0.0071 -0.0582 0.0537
Rb 1.7041 -8.0020 2.0558
Rb 3.2007 -3.4691 0.6355
```

---

Material: RbSr2
Method: DFT, GGA-PBE
State: optimized geometry

Output
For the total energy, the calculation gives -1.349 eV per atom. The calculation puts the formation energy at 27 kJ/mol of formula units. The value obtained for the total magnetization is 0.0 μB per cell. For the density of states at the Fermi level, the calculation gives 1.0166 states/eV/atom. The calculation puts the calculated volume at 188.2 Å³/f.u.

```
3
Lattice="-0.2549 2.7087 -3.3110 -0.2015 -3.3208 -2.7012 -9.9913 0.2941 3.7829" Properties=species:S:1:pos:R:3 pbc="T T T"
Sr -6.5971 -0.0077 0.5015
Rb 0.0000 0.0000 0.0000
Sr -3.8505 -0.3103 -2.7307
```

---

Material: Rb3Sr
Method: DFT, GGA-PBE
State: optimized geometry

Output
As for the energy relative to the lowest polymorph listed for this composition: 0.018 eV per atom. For the total energy, the calculation gives -1.016 eV per atom. The calculation puts the formation energy at 50 kJ/mol of formula units. The value obtained for the total magnetization is 0.0 μB per cell. For the density of states at the Fermi level, the calculation gives 1.0581 states/eV/atom. The calculation puts the calculated volume at 315.1 Å³/f.u.

```
4
Lattice="-0.7277 -1.2447 8.2077 3.1906 -7.4412 1.9732 3.0764 6.3730 -4.4007" Properties=species:S:1:pos:R:3 pbc="T T T"
Rb 1.2315 -4.3429 5.0905
Rb 3.7493 -2.7056 1.3315
Rb 1.7901 0.3927 4.4487
Sr 0.0000 0.0000 0.0000
```

---

Material: Rb3Sr
Method: DFT, GGA-PBE
State: optimized geometry

Output
As for the energy relative to the lowest polymorph listed for this composition: 0.182 eV per atom. For the total energy, the calculation gives -0.853 eV per atom. The calculation puts the formation energy at 113 kJ/mol of formula units. The value obtained for the total magnetization is 0.0 μB per cell. For the density of states at the Fermi level, the calculation gives 1.0121 states/eV/atom. The calculation puts the calculated volume at 370.3 Å³/f.u.

```
4
Lattice="6.6471 0.0000 0.0000 -3.3236 5.7566 0.0000 0.0000 0.0000 9.6784" Properties=species:S:1:pos:R:3 pbc="T T T"
Rb 0.0000 0.0000 0.0466
Rb 0.0000 3.8377 7.2588
Rb 0.0000 0.0000 4.7926
Sr 0.0000 3.8377 2.4196
```

---

Material: Rb4Sr
Method: DFT, GGA-PBE
State: optimized geometry

Output
For the total energy, the calculation gives -0.792 eV per atom. The calculation puts the formation energy at 154 kJ/mol of formula units. The value obtained for the total magnetization is 0.0 μB per cell. For the density of states at the Fermi level, the calculation gives 1.1726 states/eV/atom. The calculation puts the calculated volume at 562.6 Å³/f.u.

```
5
Lattice="-7.5263 -1.4295 3.0758 -1.9448 -4.3147 -6.7639 2.7789 -6.8913 3.5969" Properties=species:S:1:pos:R:3 pbc="T T T"
Rb -4.7355 -2.8721 -1.8440
Sr -3.3461 -6.3177 -0.0456
Rb 0.4171 -5.6030 -1.5835
Rb 0.0000 0.0000 0.0000
Rb -2.3737 -4.1604 3.3364
```

---

Material: RbSr5
Method: DFT, GGA-PBE
State: optimized geometry

Output
As for the energy relative to the lowest polymorph listed for this composition: 0.000 eV per atom. For the total energy, the calculation gives -1.515 eV per atom. The calculation puts the formation energy at 28 kJ/mol of formula units. The value obtained for the total magnetization is 0.0 μB per cell. For the density of states at the Fermi level, the calculation gives 1.1176 states/eV/atom. The calculation puts the calculated volume at 351.2 Å³/f.u.

```
6
Lattice="4.2785 0.0000 0.0000 0.0000 4.2785 0.0000 0.0000 0.0000 19.1851" Properties=species:S:1:pos:R:3 pbc="T T T"
Sr 0.0000 0.0000 15.5429
Rb 2.1393 2.1393 0.0000
Sr 2.1393 2.1393 6.6235
Sr 0.0000 0.0000 3.6422
Sr 2.1393 2.1393 12.5616
Sr 0.0000 0.0000 9.5926
```

---

Material: Rb3Sr
Method: DFT, GGA-PBE
State: optimized geometry

Output
As for the energy relative to the lowest polymorph listed for this composition: 0.018 eV per atom. For the total energy, the calculation gives -1.016 eV per atom. The calculation puts the formation energy at 50 kJ/mol of formula units. The value obtained for the total magnetization is 0.0 μB per cell. For the density of states at the Fermi level, the calculation gives 0.9224 states/eV/atom. The calculation puts the calculated volume at 314.8 Å³/f.u.

```
4
Lattice="7.6354 0.0000 0.0000 3.8177 6.6125 0.0000 3.8177 2.2042 6.2343" Properties=species:S:1:pos:R:3 pbc="T T T"
Rb 3.8177 2.2042 1.5586
Sr 0.0000 0.0000 0.0000
Rb 11.4531 6.6125 4.6757
Rb 7.6354 4.4083 3.1171
```

---

Material: Rb3Sr
Method: DFT, GGA-PBE
State: optimized geometry

Output
As for the energy relative to the lowest polymorph listed for this composition: 0.019 eV per atom. For the total energy, the calculation gives -1.015 eV per atom. The calculation puts the formation energy at 51 kJ/mol of formula units. The value obtained for the total magnetization is 0.0 μB per cell. For the density of states at the Fermi level, the calculation gives 1.0578 states/eV/atom. The calculation puts the calculated volume at 315.0 Å³/f.u.

```
4
Lattice="6.8039 0.0000 0.0000 0.0000 6.8039 0.0000 0.0000 0.0000 6.8039" Properties=species:S:1:pos:R:3 pbc="T T T"
Rb 3.4020 0.0000 0.0000
Rb 0.0000 0.0000 3.4020
Rb 0.0000 3.4020 0.0000
Sr 3.4020 3.4020 3.4020
```